Record 1
DFT (PBE) results for a relaxed PmTh2Rh crystal.

Calculated values
uncorrected energy: -0.518 Ry per atom
total moment: 0.0 Bohr magnetons per cell

```
PmTh2Rh
1.0
3.673 0.000 0.000
0.000 3.673 0.000
0.000 0.000 8.278
Pm Th Rh
1 2 1
Cartesian
0.000 0.000 0.000
1.836 1.836 2.491
1.836 1.836 5.787
0.000 0.000 4.139
```

Record 2
DFT (PBE) results for a relaxed PmTh2Rh3 crystal.

Calculated values
uncorrected energy: -0.569 Ry per atom
total moment: 0.0 Bohr magnetons per cell

```
PmTh2Rh3
1.0
5.788 0.000 0.000
0.000 12.248 0.000
-0.002 0.000 8.190
Pm Th Rh
4 8 12
Cartesian
1.443 1.019 3.125
1.443 5.105 7.220
4.344 7.143 0.971
4.343 11.229 5.066
1.446 1.020 7.165
1.447 5.104 3.069
1.446 9.176 3.102
1.445 9.196 7.197
4.341 3.052 0.993
4.340 3.072 5.088
4.340 7.144 5.121
4.340 11.228 1.026
1.447 3.043 1.049
1.446 3.081 5.144
1.446 7.158 5.118
1.446 11.214 1.023
1.450 7.194 1.096
1.449 11.178 5.191
4.337 1.070 2.999
4.336 5.054 7.094
4.340 1.034 7.167
4.341 5.090 3.072
4.340 9.167 3.046
4.339 9.205 7.141
```

Record 3
DFT (PBE) results for a relaxed PmTh2Rh crystal.

Calculated values
uncorrected energy: -0.519 Ry per atom
total moment: 0.0 Bohr magnetons per cell

```
PmTh2Rh
1.0
1.958 1.130 9.231
-1.958 1.130 9.231
0.000 -2.261 9.231
Pm Th Rh
1 2 1
Cartesian
0.000 0.000 0.000
0.000 0.000 6.315
0.000 0.000 12.075
0.000 0.000 23.053
```

Record 4
DFT (PBE) results for a relaxed Pm2ThRh2 crystal.

Calculated values
uncorrected energy: -0.513 Ry per atom
total moment: 0.0 Bohr magnetons per cell

```
Pm2ThRh2
1.0
10.373 0.000 0.000
0.000 6.964 0.000
-0.512 0.000 7.240
Pm Th Rh
8 4 8
Cartesian
-0.014 1.700 3.029
-0.270 1.782 6.649
2.558 4.691 6.308
2.814 5.754 2.688
7.047 1.209 4.552
7.303 2.272 0.932
10.131 5.182 0.591
9.875 5.264 4.211
3.290 1.291 7.216
3.546 2.191 3.596
6.315 4.773 3.644
6.571 5.673 0.024
1.562 0.282 5.018
1.818 3.200 1.398
4.834 3.826 1.479
4.578 6.619 5.099
5.283 0.344 2.141
5.027 3.138 5.761
8.042 3.764 5.842
8.298 6.682 2.222
```